{"formula": "Ce6C3SCl2", "functional": "PBE-GGA", "state": "optimized geometry", "mass_density_g_cm3": 6.617, "e_form_raw_ev_per_atom": -1.027, "dos_at_fermi_per_ev_cell": 19.2, "final_energy_ev_per_atom": -6.951, "magmom_total_mub_per_cell": 2.1, "cell": [[-1.7769, 2.7484, 1.8369], [-6.9759, -2.5030, -3.0029], [2.2710, -5.4747, 6.5542]], "species": ["Ce", "Ce", "Ce", "Ce", "Ce", "Ce", "C", "C", "C", "Cl", "Cl", "S"], "fractional_positions": [[0.6753, 0.0577, 0.3505], [0.9915, 0.2686, 0.9829], [0.6538, 0.6131, 0.3077], [0.0085, 0.7314, 0.0171], [0.3247, 0.9423, 0.6495], [0.3462, 0.3869, 0.6923], [0.8347, 0.1659, 0.6695], [0.1653, 0.8341, 0.3305], [0.5000, 0.5000, 0.0000], [0.1692, 0.3387, 0.3384], [0.8308, 0.6613, 0.6616], [0.5000, 0.0000, 0.0000]]}

***

{"formula": "HoEr3Mg8", "functional": "PBE-GGA", "state": "optimized geometry", "mass_density_g_cm3": 4.659, "dos_at_fermi_per_ev_cell": 12.8, "final_energy_ev_per_atom": -2.646, "magmom_total_mub_per_cell": 0.0, "delta_e_f_mev_per_atom": -60, "cell": [[6.0404, 0.0000, 0.0000], [-3.0202, 5.2311, 0.0000], [0.0000, 0.0000, 9.7137]], "species": ["Ho", "Mg", "Mg", "Mg", "Mg", "Mg", "Mg", "Mg", "Mg", "Er", "Er", "Er"], "fractional_positions": [[0.0000, 0.0000, 0.5641], [0.6750, 0.8375, 0.2499], [0.5043, 0.4957, 0.7502], [0.9915, 0.4957, 0.7502], [0.5043, 0.0085, 0.7502], [0.3333, 0.6667, 0.5000], [0.1625, 0.3250, 0.2499], [0.3333, 0.6667, 0.0001], [0.1625, 0.8375, 0.2499], [0.0000, 0.0000, 0.9362], [0.6667, 0.3333, 0.4357], [0.6667, 0.3333, 0.0638]]}

***

{"formula": "NpIn3I7", "functional": "PBE-GGA", "state": "optimized geometry", "mass_density_g_cm3": 4.893, "e_form_raw_ev_per_atom": -0.566, "dos_at_fermi_per_ev_cell": 5.0, "final_energy_ev_per_atom": -3.476, "magmom_total_mub_per_cell": 3.0, "cell": [[0.8048, 3.4409, 7.2102], [4.4779, -5.4407, 3.8498], [8.8681, 2.7643, 2.3871]], "species": ["I", "I", "I", "I", "I", "I", "I", "In", "In", "In", "Np"], "fractional_positions": [[0.3133, 0.9175, 0.7591], [0.6263, 0.6263, 0.3570], [0.1432, 0.6172, 0.2489], [0.9175, 0.3133, 0.7591], [0.8043, 0.8043, 0.8609], [0.6172, 0.1432, 0.2489], [0.1650, 0.1650, 0.0964], [0.2426, 0.8507, 0.4620], [0.8507, 0.2426, 0.4620], [0.5028, 0.5028, 0.9528], [0.9422, 0.9422, 0.0430]]}

***

{"formula": "AcBi2O4", "functional": "PBE-GGA", "state": "optimized geometry", "mass_density_g_cm3": 9.396, "e_form_raw_ev_per_atom": -1.690, "dos_at_fermi_per_ev_cell": 4.4, "final_energy_ev_per_atom": -6.219, "magmom_total_mub_per_cell": 0.0, "cell": [[6.5129, -0.3667, 2.1873], [-3.0381, 5.6387, 2.5126], [0.1844, -0.3681, 6.8679]], "species": ["O", "O", "O", "O", "O", "O", "O", "O", "Ac", "Ac", "Bi", "Bi", "Bi", "Bi"], "fractional_positions": [[0.3148, 0.0719, 0.6138], [0.1856, 0.6788, 0.1360], [0.3150, 0.2429, 0.0713], [0.6851, 0.6138, 0.0720], [0.6852, 0.0715, 0.2429], [0.8143, 0.1360, 0.6790], [0.8144, 0.6784, 0.5067], [0.1857, 0.5067, 0.6783], [0.5000, 0.7500, 0.7500], [0.0000, 0.0000, 0.0000], [0.2501, 0.8750, 0.3748], [0.2497, 0.3747, 0.3751], [0.7503, 0.3752, 0.8750], [0.7499, 0.3751, 0.3751]]}

***

{"formula": "Nd2OsC2", "functional": "PBE-GGA", "state": "optimized geometry", "mass_density_g_cm3": 9.183, "dos_at_fermi_per_ev_cell": 6.1, "final_energy_ev_per_atom": -8.014, "magmom_total_mub_per_cell": 0.0, "delta_e_f_mev_per_atom": -172, "cell": [[-3.9772, 1.1224, 3.3885], [0.3285, -2.9513, 5.5774], [2.0360, 3.7697, 5.3553]], "species": ["Nd", "Nd", "Nd", "Nd", "Os", "Os", "C", "C", "C", "C"], "fractional_positions": [[0.0374, 0.7102, 0.2149], [0.9626, 0.2898, 0.7851], [0.6825, 0.2588, 0.3761], [0.3175, 0.7412, 0.6239], [0.3653, 0.1355, 0.1339], [0.6347, 0.8645, 0.8661], [0.4899, 0.2323, 0.7879], [0.8188, 0.7570, 0.6054], [0.1812, 0.2430, 0.3946], [0.5101, 0.7677, 0.2121]]}

***

{"formula": "Li3Ac3GeO8", "functional": "PBE-GGA", "state": "optimized geometry", "mass_density_g_cm3": 7.349, "e_form_raw_ev_per_atom": -2.327, "dos_at_fermi_per_ev_cell": 0.0, "final_energy_ev_per_atom": -6.483, "magmom_total_mub_per_cell": 0.0, "cell": [[7.9854, 0.0023, -0.0027], [-3.9907, 6.9179, -0.0171], [-0.0024, -4.6011, 3.7027]], "species": ["O", "O", "O", "O", "O", "O", "O", "O", "Ac", "Ac", "Ac", "Li", "Li", "Li", "Ge"], "fractional_positions": [[0.8569, 0.0780, 0.7989], [0.2209, 0.4420, 0.7988], [0.3286, 0.6573, 0.4859], [0.1431, 0.9220, 0.2011], [0.6714, 0.3427, 0.5141], [0.7788, 0.9218, 0.2007], [0.2212, 0.0782, 0.7993], [0.7791, 0.5580, 0.2012], [0.5000, 0.0000, 0.5000], [0.5000, 0.5000, 0.5000], [0.0000, 0.5000, 0.5000], [0.0000, 0.5000, 0.0000], [0.5000, 0.5000, 0.0000], [0.0000, 0.0000, 0.0000], [0.0000, 0.0000, 0.5000]]}

***

{"formula": "Ba2BePb", "functional": "PBE-GGA", "state": "optimized geometry", "mass_density_g_cm3": 5.851, "dos_at_fermi_per_ev_cell": 3.9, "final_energy_ev_per_atom": -2.595, "magmom_total_mub_per_cell": 0.0, "delta_e_f_mev_per_atom": 225, "cell": [[6.4690, 0.0260, 0.0000], [2.4382, 5.9920, 0.0000], [-4.4536, -3.0090, 3.6000]], "species": ["Ba", "Ba", "Pb", "Be"], "fractional_positions": [[0.2500, 0.7500, 0.5000], [0.0000, 0.0000, 0.0000], [0.7500, 0.2500, 0.5000], [0.5000, 0.5000, 0.0000]]}

***

{"formula": "HfCo3Sb", "functional": "PBE-GGA", "state": "optimized geometry", "mass_density_g_cm3": 8.269, "e_form_raw_ev_per_atom": 1.187, "dos_at_fermi_per_ev_cell": 6.2, "final_energy_ev_per_atom": -5.892, "magmom_total_mub_per_cell": 2.0, "cell": [[-4.3569, -0.3716, -1.3474], [1.1144, -3.5858, -2.6147], [-0.8436, -2.8179, 3.5049]], "species": ["Co", "Co", "Co", "Sb", "Hf"], "fractional_positions": [[0.0000, 0.5000, 0.0000], [0.5000, 0.0000, 0.0000], [0.0000, 0.0000, 0.5000], [0.5000, 0.5000, 0.5000], [0.0000, 0.0000, 0.0000]]}

***

{"formula": "MgGaGe2O6", "functional": "PBE-GGA", "state": "optimized geometry", "mass_density_g_cm3": 4.822, "e_form_raw_ev_per_atom": -1.761, "dos_at_fermi_per_ev_cell": 2.4, "final_energy_ev_per_atom": -6.122, "magmom_total_mub_per_cell": 0.0, "cell": [[-3.3278, 3.5756, -2.1756], [-4.8340, -0.2776, 4.5523], [2.1405, 5.4041, 3.2222]], "species": ["Ge", "Ge", "Ge", "Ge", "O", "O", "O", "O", "O", "O", "O", "O", "O", "O", "O", "O", "Ga", "Ga", "Mg", "Mg"], "fractional_positions": [[0.7059, 0.5978, 0.7883], [0.7941, 0.2117, 0.4022], [0.2059, 0.7883, 0.5978], [0.2941, 0.4022, 0.2117], [0.3983, 0.8548, 0.3664], [0.3818, 0.5580, 0.7161], [0.1017, 0.6336, 0.1452], [0.6182, 0.4420, 0.2839], [0.1352, 0.9805, 0.7915], [0.8983, 0.3664, 0.8548], [0.3648, 0.2085, 0.0195], [0.1182, 0.2839, 0.4420], [0.8818, 0.7161, 0.5580], [0.8648, 0.0195, 0.2085], [0.6017, 0.1452, 0.6336], [0.6352, 0.7915, 0.9805], [0.7500, 0.7342, 0.2658], [0.2500, 0.2658, 0.7342], [0.7500, 0.0912, 0.9088], [0.2500, 0.9088, 0.0912]]}

***

{"formula": "CaLa2Ru", "functional": "PBE-GGA", "state": "optimized geometry", "mass_density_g_cm3": 4.884, "dos_at_fermi_per_ev_cell": 2.1, "final_energy_ev_per_atom": -5.441, "magmom_total_mub_per_cell": 0.0, "delta_e_f_mev_per_atom": -157, "cell": [[10.0024, -0.0188, -0.0111], [9.1638, 4.0092, -0.0111], [9.1638, 1.9079, 3.5261]], "species": ["Ru", "La", "La", "Ca"], "fractional_positions": [[0.2500, 0.2500, 0.2500], [0.5306, 0.5306, 0.5306], [0.9694, 0.9694, 0.9694], [0.7500, 0.7500, 0.7500]]}

***

{"formula": "CaSbAsSe2", "functional": "PBE-GGA", "state": "optimized geometry", "mass_density_g_cm3": 4.271, "e_form_raw_ev_per_atom": 0.350, "dos_at_fermi_per_ev_cell": 5.7, "final_energy_ev_per_atom": -3.198, "magmom_total_mub_per_cell": 0.0, "cell": [[5.3297, 0.0000, 0.0000], [0.0000, 5.3297, 0.0000], [0.0000, 0.0000, 5.4026]], "species": ["Se", "Se", "Ca", "Sb", "As"], "fractional_positions": [[0.5000, 0.0000, 0.0000], [0.0000, 0.5000, 0.0000], [0.0000, 0.0000, 0.0000], [0.5000, 0.5000, 0.5000], [0.0000, 0.0000, 0.5000]]}

***

{"formula": "TiTcW2", "functional": "PBE-GGA", "state": "optimized geometry", "mass_density_g_cm3": 13.630, "dos_at_fermi_per_ev_cell": 2.3, "final_energy_ev_per_atom": -11.278, "magmom_total_mub_per_cell": 0.0, "delta_e_f_mev_per_atom": -236, "cell": [[-1.5153, 2.7464, -0.0041], [-3.2235, -1.7749, 2.4166], [4.5453, 0.7205, 2.5805]], "species": ["W", "W", "Tc", "Ti"], "fractional_positions": [[0.2451, 0.2452, 0.4902], [0.7549, 0.7548, 0.5098], [0.5000, 0.0000, 0.0000], [0.0000, 0.5000, 0.0000]]}